Entry 1:
Compound: Th3Zn2Cd9
Source: Alexandria via LeMat-Bulk
Functional: PBE
Structure: relaxed

a b c (Å): 8.798 8.798 8.798
angles (deg): 147.52 112.30 77.11
Fractional coordinates of all 14 atoms:
Th 0.000 0.000 0.000
Th 0.288 0.288 0.000
Th 0.712 0.712 0.000
Zn 0.346 0.500 0.846
Zn 0.654 0.500 0.154
Cd 0.002 0.360 0.642
Cd 0.139 0.853 0.286
Cd 0.282 0.640 0.642
Cd 0.434 0.147 0.286
Cd 0.500 0.000 0.500
Cd 0.566 0.853 0.714
Cd 0.718 0.360 0.358
Cd 0.861 0.147 0.714
Cd 0.998 0.640 0.358

Output
DFT formation energy   -0.12 eV/atom
Magnetic moment   0.00 μB per formula unit
SG   No. 71
DFT total energy   -34.69 eV for the cell shown

Entry 2:
Compound: KSnSbTe3
Source: Alexandria via LeMat-Bulk
Functional: PBE
Structure: relaxed

a b c (Å): 9.248 4.424 11.850
angles (deg): 90.00 108.65 90.00
Fractional coordinates of all 12 atoms:
K 0.227 0.250 0.274
K 0.773 0.750 0.726
Sn 0.131 0.250 0.555
Sn 0.869 0.750 0.445
Sb 0.365 0.750 0.846
Sb 0.635 0.250 0.154
Te 0.113 0.250 0.795
Te 0.357 0.750 0.576
Te 0.391 0.750 0.105
Te 0.609 0.250 0.895
Te 0.643 0.250 0.424
Te 0.887 0.750 0.205

Output
Raw formation energy   -0.43 eV/atom
Magnetic moment   0.00 μB per formula unit
SG   No. 11
DFT total energy   -42.49 eV for the cell shown

Entry 3:
Compound: KCaCd2Rh
Source: Alexandria via LeMat-Bulk
Functional: PBE
Structure: relaxed

a b c (Å): 5.395 5.395 5.234
angles (deg): 90.00 90.00 90.00
Fractional coordinates of all 5 atoms:
K 0.000 0.000 0.000
Ca 0.500 0.500 0.000
Cd 0.000 0.500 0.500
Cd 0.500 0.000 0.500
Rh 0.500 0.500 0.500

Output
DFT formation energy   -0.18 eV/atom
Magnetic moment   0.00 μB per formula unit
SG   No. 123
DFT total energy   -13.16 eV for the cell shown

Entry 4:
Compound: ThSiTcC
Source: Alexandria via LeMat-Bulk
Functional: PBE
Structure: relaxed

a b c (Å): 3.909 3.909 8.845
angles (deg): 90.00 90.00 90.00
Fractional coordinates of all 8 atoms:
Th 0.250 0.250 0.154
Th 0.750 0.750 0.846
Si 0.250 0.250 0.667
Si 0.750 0.750 0.333
Tc 0.250 0.750 0.500
Tc 0.750 0.250 0.500
C 0.250 0.250 0.878
C 0.750 0.750 0.122

Output
Raw formation energy   -0.47 eV/atom
Magnetic moment   0.00 μB per formula unit
SG   No. 129
DFT total energy   -68.66 eV for the cell shown

> What is the magnetic moment in the third record?

0.00 μB per formula unit